1.
The following is a PBE calculation of NdDy5Hg2 after structural relaxation, from the Alexandria database.

Cell: 3.7421 8.2449 8.2449 Å, 76.51 76.88 76.88°
Fractional coordinates of all 8 atoms:
Nd 0.0000 0.0000 0.0000
Dy 0.0000 0.5000 0.5000
Dy 0.6374 0.5857 0.1394
Dy 0.3626 0.4143 0.8606
Dy 0.3626 0.8606 0.4143
Dy 0.6374 0.1394 0.5857
Hg 0.7386 0.7614 0.7614
Hg 0.2614 0.2386 0.2386

=====

2.
The following is a PBE calculation of NdDy6Hg after structural relaxation, from the Alexandria database.

Cell: 9.3144 8.5358 6.3140 Å, 47.49 42.51 56.93°
Fractional coordinates of all 8 atoms:
Nd 0.5000 0.5000 0.5000
Dy 0.0415 0.4394 0.7585
Dy 0.7607 0.9587 0.7196
Dy 0.5610 0.2393 0.1586
Dy 0.2393 0.0413 0.2804
Dy 0.9585 0.5606 0.2415
Dy 0.4390 0.7607 0.8414
Hg 0.0000 0.0000 0.0000

=====

3.
The following is a PBE calculation of Nd4Dy3Hg4 after structural relaxation, from the Alexandria database.

Cell: 3.6410 9.3115 10.8370 Å, 115.44 99.67 90.00°
Fractional coordinates of all 11 atoms:
Nd 0.3404 0.1633 0.6808
Nd 0.6596 0.4825 0.3192
Nd 0.6596 0.8367 0.3192
Nd 0.3404 0.5175 0.6808
Dy 0.0961 0.0961 0.1921
Dy 0.9039 0.9039 0.8079
Dy 0.0000 0.5000 0.0000
Hg 0.2735 0.7735 0.5470
Hg 0.7265 0.2265 0.4530
Hg 0.5000 0.7892 0.0000
Hg 0.5000 0.2108 0.0000

=====

4.
The following is a PBE calculation of Nd6Dy2Hg after structural relaxation, from the Alexandria database.

## Properties
Offset from the most stable computed form = 97 meV per atom

Cell: 3.6127 10.3840 9.7115 Å, 122.32 100.77 90.00°
Fractional coordinates of all 9 atoms:
Nd 0.1774 0.3394 0.3556
Nd 0.8226 0.9837 0.6444
Nd 0.8226 0.6606 0.6444
Nd 0.5000 0.2932 0.0000
Nd 0.1774 0.0163 0.3556
Nd 0.5000 0.7068 0.0000
Dy 0.1514 0.6509 0.3017
Dy 0.8486 0.3491 0.6983
Hg 0.0000 0.0000 0.0000

=====

5.
The following is a PBE calculation of NdDy4Hg after structural relaxation, from the Alexandria database.

## Properties
Offset from the most stable computed form = 0 meV per atom

Cell: 3.6002 3.6002 14.0257 Å, 90.00 90.00 90.00°
Fractional coordinates of all 6 atoms:
Nd 0.0000 0.0000 0.0000
Dy 0.5000 0.5000 0.1810
Dy 0.0000 0.0000 0.6417
Dy 0.0000 0.0000 0.3583
Dy 0.5000 0.5000 0.8190
Hg 0.5000 0.5000 0.5000

=====

6.
The following is a PBE calculation of Nd2Dy8Hg after structural relaxation, from the Alexandria database.

## Properties
Offset from the most stable computed form = 53 meV per atom

Cell: 5.4954 7.4903 9.7864 Å, 112.48 106.31 90.00°
Fractional coordinates of all 11 atoms:
Nd 0.8077 0.3078 0.6154
Nd 0.1923 0.6922 0.3846
Dy 0.3662 0.6017 0.7324
Dy 0.6340 0.8698 0.2679
Dy 0.8170 0.8168 0.6339
Dy 0.9999 0.2537 0.9999
Dy 0.1830 0.1832 0.3661
Dy 0.3660 0.1302 0.7321
Dy 0.6338 0.3983 0.2676
Dy 0.0001 0.7463 0.0001
Hg 0.5000 0.0000 0.0000

=====

no.,ρ (kg/m3),energy of formation (kJ per mole of atoms)
1,9522,-16.5
2,8805,-0.6
3,9510,-26.9
4,7693,-0.1
5,9087,-13.7
6,8378,1.3